# 1
{"formula": "CePr7Er12", "functional": "PBE-GGA", "state": "relaxed", "lattice": [[-7.330, -3.838, 2.766], [4.693, -6.135, 4.056], [0.148, 4.848, 7.251]], "species": ["Ce", "Pr", "Pr", "Pr", "Pr", "Pr", "Pr", "Pr", "Er", "Er", "Er", "Er", "Er", "Er", "Er", "Er", "Er", "Er", "Er", "Er"], "fractional_positions": [[0.000, 0.000, 0.000], [0.966, 0.668, 0.071], [0.332, 0.929, 0.034], [0.929, 0.034, 0.332], [0.500, 0.500, 0.500], [0.071, 0.966, 0.668], [0.668, 0.071, 0.966], [0.034, 0.332, 0.929], [0.772, 0.235, 0.628], [0.765, 0.372, 0.228], [0.456, 0.125, 0.356], [0.875, 0.644, 0.544], [0.372, 0.228, 0.765], [0.644, 0.544, 0.875], [0.356, 0.456, 0.125], [0.628, 0.772, 0.235], [0.125, 0.356, 0.456], [0.544, 0.875, 0.644], [0.235, 0.628, 0.772], [0.228, 0.765, 0.372]], "formation_enthalpy_0k_ev_per_atom": 0.240, "spacegroup": "R-3 (148)", "dos_ef_per_ev_atom": 1.95}

***

# 2
{"formula": "SrLiTl2Pb", "functional": "PBE-GGA", "state": "relaxed", "lattice": [[5.271, 0.000, 0.000], [0.000, 5.271, 0.000], [0.000, 0.000, 5.332]], "species": ["Pb", "Sr", "Tl", "Tl", "Li"], "fractional_positions": [[0.000, 0.000, 0.500], [0.500, 0.500, 0.500], [0.000, 0.500, 0.000], [0.500, 0.000, 0.000], [0.000, 0.000, 0.000]], "formation_enthalpy_0k_ev_per_atom": -0.216, "spacegroup": "P4/mmm (123)", "relative_energy_mev_per_atom": 36.9, "dos_ef_per_ev_atom": 0.31}

***

# 3
{"formula": "Zr2ReHg", "functional": "PBE-GGA", "state": "relaxed", "lattice": [[4.770, 0.000, 0.000], [0.000, 4.666, 1.024], [0.000, 3.922, 4.407]], "species": ["Hg", "Re", "Zr", "Zr"], "fractional_positions": [[0.500, 0.500, 0.500], [0.000, 0.000, 0.500], [0.000, 0.000, 0.000], [0.500, 0.500, 0.000]], "formation_enthalpy_0k_ev_per_atom": -0.107, "spacegroup": "P4/mmm (123)", "dos_ef_per_ev_atom": 0.85}

***

# 4
{"formula": "ThMgInHg", "functional": "PBE-GGA", "state": "relaxed", "lattice": [[3.234, 0.000, 0.000], [0.000, 5.822, 0.000], [0.000, 0.000, 6.086]], "species": ["Th", "Mg", "In", "Hg"], "fractional_positions": [[0.500, 0.500, 0.500], [0.000, 0.500, 0.000], [0.000, 0.000, 0.000], [0.000, 0.000, 0.500]], "formation_enthalpy_0k_ev_per_atom": 0.135, "spacegroup": "Pmmm (47)", "relative_energy_mev_per_atom": 345.0, "dos_ef_per_ev_atom": 0.94}

***

# 5
{"formula": "CoSe2N", "functional": "PBE-GGA", "state": "relaxed", "lattice": [[2.856, -0.304, -0.040], [-0.787, 6.469, -2.372], [-0.105, -2.033, 8.190]], "species": ["Co", "Co", "Se", "Se", "Se", "Se", "N", "N"], "fractional_positions": [[0.383, 0.804, 0.529], [0.673, 0.382, 0.574], [0.723, 0.485, 0.349], [0.459, 0.958, 0.330], [0.332, 0.701, 0.754], [0.596, 0.228, 0.774], [0.910, 0.859, 0.160], [0.146, 0.327, 0.943]], "spacegroup": "C2/m (12)", "e_form_raw_mev_per_atom": 537, "dos_ef_per_ev_atom": 0.49}

***

# 6
{"formula": "Cu3AuS", "functional": "PBE-GGA", "state": "relaxed", "lattice": [[4.356, 0.000, 0.000], [0.000, 4.356, 0.000], [0.000, 0.000, 4.356]], "species": ["S", "Au", "Cu", "Cu", "Cu"], "fractional_positions": [[0.000, 0.000, 0.000], [0.500, 0.500, 0.500], [0.000, 0.500, 0.000], [0.000, 0.000, 0.500], [0.500, 0.000, 0.000]], "spacegroup": "Pm-3m (221)", "relative_energy_mev_per_atom": 0.0, "e_form_raw_mev_per_atom": 220, "dos_ef_per_ev_atom": 0.24}